5
Lattice="3.909 0.000 0.000 0.000 3.909 0.000 0.000 0.000 3.909" Properties=species:S:1:pos:R:3 comment="VRhO3 | Alexandria via LeMat-Bulk | PBE with a Hubbard U | relaxed" total_energy_ev_per_cell=-31.12 magnetic_moment_mub_per_cell=1.6 pbc="T T T"
Rh 0.000 0.000 0.000
O 0.000 1.954 0.000
O 0.000 0.000 1.954
O 1.954 0.000 0.000
V 1.954 1.954 1.954